# K2NpHgSe4

Crystalline K2NpHgSe4 at its relaxed geometry (PBE, Alexandria via LeMat-Bulk).

Geometry as POSCAR:
```
K2NpHgSe4
1.0
7.6462 0.0000 0.0000
0.0000 4.1983 0.0000
-2.9234 0.0000 7.5559
K Np Hg Se
2 1 1 4
direct
0.0000 0.0000 0.0000
0.5000 0.5000 0.0000
0.0000 0.5000 0.5000
0.5000 0.0000 0.5000
0.2060 0.0000 0.7189
0.2607 0.5000 0.3165
0.7393 0.5000 0.6835
0.7940 0.0000 0.2811
```

Summary:
Formation energy (no corrections), eV/atom: -0.93
SG: P2/m (10)